CaY3Pd12 (PBE, relaxed); E = -5.990 eV per atom; space group = P4/mmm, No. 123
1.0
4.123 0.000 0.000
0.000 4.123 0.000
0.000 0.000 16.611
Y Pd Ca
3 12 1
Cartesian
0.000 0.000 8.305
0.000 0.000 4.152
0.000 0.000 12.459
2.062 2.062 4.161
2.062 2.062 0.000
2.062 0.000 6.234
2.062 0.000 2.101
0.000 2.062 14.510
2.062 2.062 8.305
2.062 0.000 14.510
2.062 2.062 12.450
0.000 2.062 6.234
2.062 0.000 10.377
0.000 2.062 2.101
0.000 2.062 10.377
0.000 0.000 0.000



CaY2Pd9 (PBE, relaxed); E = -5.868 eV per atom; space group = P4/mmm, No. 123
1.0
4.139 0.000 0.000
0.000 4.139 0.000
0.000 0.000 12.365
Pd Ca Y
9 1 2
Cartesian
2.069 0.000 10.281
0.000 2.069 2.084
2.069 2.069 0.000
0.000 2.069 6.183
2.069 0.000 2.084
2.069 2.069 4.131
0.000 2.069 10.281
2.069 0.000 6.183
2.069 2.069 8.234
0.000 0.000 0.000
0.000 0.000 4.113
0.000 0.000 8.253



CaY2Pd (PBE, relaxed); E above lowest polymorph = 0 meV/atom; space group = Cmcm, No. 63
1.0
3.975 0.000 0.000
-1.987 6.201 0.000
0.000 0.000 9.374
Pd Y Ca
2 4 2
Cartesian
0.001 2.919 2.344
1.987 3.282 7.031
1.988 1.770 4.121
0.000 4.432 5.253
1.988 1.770 0.566
0.000 4.432 8.808
1.988 5.388 2.344
0.000 0.814 7.031



Ca3YPd (PBE, relaxed); E above lowest polymorph = 0 meV/atom; space group = Pm-3m, No. 221
1.0
-0.932 0.446 -5.498
-5.508 -0.368 0.904
-0.290 5.564 0.500
Ca Pd Y
3 1 1
Cartesian
-2.754 -0.184 0.452
-0.466 0.223 -2.749
-0.145 2.782 0.250
0.000 0.000 0.000
-3.365 2.821 -2.047



CaYPd4 (PBE, relaxed); E above lowest polymorph = 0 meV/atom; space group = F-43m, No. 216
1.0
5.455 0.000 0.000
2.728 4.724 0.000
2.728 1.575 4.454
Pd Ca Y
4 1 1
Cartesian
6.819 3.937 2.784
5.455 3.150 0.557
5.455 1.575 2.784
4.092 3.937 2.784
2.728 1.575 1.114
0.000 0.000 0.000



CaY2Pd (PBE, relaxed); E above lowest polymorph = 102 meV/atom; space group = R3m, No. 160
1.0
-3.279 -1.439 1.927
0.146 -3.629 1.828
1.788 2.386 9.116
Pd Y Ca
1 2 1
Cartesian
-2.085 -3.374 2.513
-0.571 -1.008 2.567
1.319 1.711 7.814
-0.681 -1.353 6.412



CaY2Pd2 (PBE, relaxed); E above lowest polymorph = 124 meV/atom; space group = I4/mmm, No. 139
1.0
-0.042 -3.975 -2.521
4.040 -1.324 2.021
-1.104 -5.405 4.147
Pd Y Ca
2 2 1
Cartesian
1.311 -3.260 0.724
1.582 -7.444 2.923
0.426 -6.015 0.688
2.467 -4.690 2.959
0.000 0.000 0.000



CaY2Pd (PBE, relaxed); E above lowest polymorph = 294 meV/atom; space group = Fm-3m, No. 225
1.0
4.859 -0.044 2.138
1.621 4.076 2.990
0.589 -0.621 5.239
Y Pd Ca
2 1 1
Cartesian
5.302 2.558 7.776
1.767 0.853 2.592
3.535 1.706 5.184
0.000 0.000 0.000



CaY2Pd2 (PBE, relaxed); E above lowest polymorph = 0 meV/atom; space group = P4/mbm, No. 127
1.0
-6.929 1.893 -3.475
2.456 -3.437 -6.769
-1.505 -3.370 1.165
Y Pd Ca
4 4 2
Cartesian
-5.744 -1.265 -4.652
-0.235 -3.649 -4.428
-3.250 -3.330 -7.402
-2.728 -1.584 -1.678
-4.454 -0.533 -7.297
-0.414 -2.286 -7.146
-4.059 0.742 -3.098
-0.019 -1.011 -2.947
-2.237 -0.772 -5.122
0.000 0.000 0.000



Ca5YPd6 (PBE, relaxed); E = -4.690 eV per atom; space group = P2/m, No. 10
1.0
4.715 -0.028 1.588
0.038 7.123 0.013
0.021 -0.014 7.880
Ca Y Pd
5 1 6
Cartesian
1.561 -0.014 3.206
1.599 3.547 3.155
0.019 3.561 0.006
3.175 3.533 6.326
3.175 -0.028 6.263
0.000 0.000 0.000
3.989 5.342 3.877
0.785 1.739 5.604
2.387 5.442 0.804
0.804 5.356 5.611
3.970 1.725 3.870
2.387 1.638 8.677



Ca2YZn2Pd5 (PBE, relaxed); E = -4.594 eV per atom; space group = P4/mbm, No. 127
1.0
-1.522 -1.168 3.223
-6.144 -6.226 -5.158
6.956 -7.373 0.614
Pd Ca Zn Y
10 4 4 2
Cartesian
-2.140 -8.192 -1.797
-1.581 -2.415 0.561
0.871 -12.352 -1.882
1.430 -6.575 0.475
-5.005 -7.942 -3.059
-1.404 -5.389 -0.433
0.694 -9.378 -0.888
2.717 -4.270 1.918
-3.833 -3.697 -0.968
4.295 -6.826 1.737
-0.381 -10.113 -3.844
3.742 -8.114 -1.173
-2.931 -5.485 -3.372
1.193 -3.486 -0.700
-2.765 -8.259 -4.298
3.577 -5.340 -0.246
-1.479 -3.253 -1.877
2.291 -10.347 -2.667
0.000 0.000 0.000
0.406 -6.800 -2.272



CaYZnPd (PBE, relaxed); E = -4.284 eV per atom; space group = Amm2, No. 38
1.0
-2.881 1.975 -1.784
-2.930 -2.750 1.687
0.924 2.316 5.381
Ca Y Zn Pd
1 1 1 1
Cartesian
-0.150 0.961 1.306
-3.276 1.987 3.178
-2.978 0.078 0.584
-0.438 2.807 3.814



CaYbPd2 (PBE, relaxed); E = -4.206 eV per atom; space group = Fm-3m, No. 225
1.0
4.976 0.000 0.000
2.488 4.309 0.000
2.488 1.436 4.063
Pd Ca Yb
2 1 1
Cartesian
2.488 1.436 1.016
7.464 4.309 3.047
4.976 2.873 2.031
0.000 0.000 0.000



Ca3Zn2Pd (PBE, relaxed); E = -2.710 eV per atom; space group = Pnma, No. 62
1.0
4.305 0.000 0.000
0.000 12.144 0.000
0.000 0.000 12.117
Pd Zn Ca
4 8 12
Cartesian
1.076 4.514 7.567
3.229 7.630 4.550
3.229 10.587 10.609
1.076 1.558 1.508
1.076 9.855 11.899
3.229 2.289 0.218
3.229 6.122 2.392
1.076 8.361 5.840
3.229 3.783 6.277
3.229 12.094 8.450
1.076 6.022 9.726
1.076 0.050 3.667
3.229 3.586 9.439
1.076 9.658 8.737
1.076 5.417 4.631
1.076 4.540 0.608
3.229 10.612 5.451
1.076 0.655 10.690
3.229 6.727 7.486
3.229 2.486 3.381
1.076 8.559 2.678
1.076 1.533 6.667
3.229 7.605 11.509
3.229 11.489 1.428



CaZnPd2 (PBE, relaxed); E = -3.966 eV per atom; space group = P4/mmm, No. 123
1.0
-0.248 -3.750 0.701
2.728 -0.781 -3.212
3.294 0.292 2.727
Pd Zn Ca
2 1 1
Cartesian
1.647 0.146 1.363
1.364 -0.390 -1.606
-0.124 -1.875 0.350
2.887 -2.120 0.107



Ca2Zn3Pd (PBE, relaxed); E = -2.610 eV per atom; space group = C2/m, No. 12
1.0
1.665 -1.851 -4.818
2.024 -2.200 4.525
-5.201 -1.144 1.704
Zn Ca Pd
3 2 1
Cartesian
-2.601 -0.572 0.852
-0.756 -2.597 0.705
-1.768 -1.497 -1.557
1.367 -2.347 -1.707
-2.880 -2.848 3.117
0.000 0.000 0.000



Ca3Zn7Pd2 (PBE, relaxed); E = -2.513 eV per atom; space group = R-3m, No. 166
1.0
5.469 0.000 0.000
2.734 4.736 0.000
2.734 1.579 8.815
Ca Zn Pd
3 7 2
Cartesian
2.734 1.579 5.008
0.000 0.000 0.000
8.203 4.736 3.808
4.099 2.366 2.127
4.099 3.948 6.689
5.469 1.575 6.689
5.469 3.157 4.408
6.839 2.366 2.127
6.839 3.948 6.689
5.469 4.739 2.127
5.469 3.157 0.007
5.469 3.157 8.808



Ca2ZnPd3 (PBE, relaxed); E above lowest polymorph = 0 meV/atom; space group = R-3m, No. 166
1.0
4.783 0.015 2.256
1.436 4.563 2.256
0.021 0.015 5.289
Zn Ca Pd
1 2 3
Cartesian
0.000 0.000 0.000
3.914 2.881 6.147
2.326 1.712 3.654
0.010 0.008 2.644
2.392 0.008 1.128
0.718 2.281 1.128



CaZn8Pd2 (PBE, relaxed); E = -2.118 eV per atom; space group = P4/mmm, No. 123
1.0
6.483 0.000 0.000
0.000 6.483 0.000
0.000 0.000 5.133
Zn Ca Pd
8 1 2
Cartesian
5.164 1.320 1.286
5.164 5.164 3.848
5.164 1.320 3.848
1.320 5.164 3.848
1.320 1.320 3.848
1.320 5.164 1.286
1.320 1.320 1.286
5.164 5.164 1.286
3.242 3.242 2.567
3.242 0.000 0.000
0.000 3.242 0.000



CaZn2Pd6 (PBE, relaxed); E = -4.232 eV per atom; space group = P-31m, No. 162
1.0
4.747 0.000 0.000
-2.373 4.111 0.000
0.000 0.000 9.071
Pd Zn Ca
6 2 1
Cartesian
3.152 0.000 2.474
0.797 1.381 2.474
1.576 2.730 6.597
-0.797 1.381 6.597
-1.576 2.730 2.474
1.595 0.000 6.597
2.373 1.370 4.536
0.000 2.741 4.536
0.000 0.000 0.000



Ca2Zn2Pd (PBE, relaxed); E above lowest polymorph = 168 meV/atom; space group = I4/mmm, No. 139
1.0
3.628 0.000 0.000
0.000 3.628 0.000
1.814 1.814 8.900
Zn Ca Pd
2 2 1
Cartesian
3.628 1.814 4.450
1.814 3.628 4.450
1.814 1.814 1.707
3.628 3.628 7.193
0.000 0.000 0.000



CaZn6Pd12 (PBE, relaxed); E = -4.125 eV per atom; space group = R-3m, No. 166
1.0
-4.349 -0.175 -5.752
6.724 0.018 -2.611
-0.822 -6.367 3.288
Pd Zn Ca
12 6 1
Cartesian
-2.101 -5.697 -0.288
-0.568 -0.901 -5.984
3.654 -0.827 -4.787
0.731 -5.510 -2.240
-1.052 -2.599 -1.370
2.122 -5.623 0.910
-0.145 -3.972 -4.485
0.822 -1.014 -2.835
-3.446 -3.335 -3.735
4.999 -3.188 -1.340
1.698 -2.552 -0.590
2.605 -3.924 -3.705
-1.761 -4.727 -2.551
2.989 -4.644 -1.203
-1.436 -1.880 -3.872
3.314 -1.797 -2.524
0.077 -4.537 0.007
1.476 -1.987 -5.082
0.000 0.000 0.000



CaZn2Pd8 (PBE, relaxed); E = -4.185 eV per atom; space group = P4/mmm, No. 123
1.0
-1.220 -5.099 3.127
5.555 0.218 2.523
-2.006 3.028 4.155
Zn Ca Pd
2 1 8
Cartesian
-0.610 -2.550 1.563
2.777 0.109 1.261
1.164 -0.927 4.902
3.555 -0.188 3.706
-0.234 -3.162 4.044
2.872 -3.040 5.455
0.448 -0.310 2.296
-1.226 -1.665 6.098
2.563 1.308 5.760
1.881 -1.544 7.509
-0.543 1.186 4.349